Entry 1:
KFeCl2 (SCAN, single point on PBEsol structure); polymorph energy (0 for the lowest one) = 0 meV per atom; formation energy (no corrections) = -1097 meV/atom; total DFT energy (no corrections) = -46.8 eV/cell; ρ = 3.07 g cm⁻³
1.0
3.7333 0.0000 0.0000
0.0000 3.5700 0.0000
-0.0074 0.0000 6.7386
K Fe Cl
1 1 2
direct
0.0000 0.0000 0.0000
0.5000 0.0000 0.5000
0.4992 0.5000 0.7337
0.5008 0.5000 0.2663



Entry 2:
KFe2Cl (SCAN, single point on PBEsol structure); polymorph energy (0 for the lowest one) = 300 meV per atom; formation energy (no corrections) = 209 meV/atom; total DFT energy (no corrections) = -51.7 eV/cell; ρ = 3.70 g cm⁻³
1.0
5.7362 -1.4594 0.0000
5.7362 1.4594 0.0000
-1.8977 0.0000 4.9887
K Fe Cl
1 2 1
direct
0.0000 0.0000 0.0000
0.2016 0.2016 0.5956
0.7984 0.7984 0.4044
0.5000 0.5000 0.5000



Entry 3:
KFeCl2 (SCAN, single point on PBEsol structure); polymorph energy (0 for the lowest one) = 234 meV per atom; formation energy (no corrections) = -863 meV/atom; total DFT energy (no corrections) = -45.9 eV/cell; ρ = 3.03 g cm⁻³
1.0
3.5073 0.0000 0.0000
0.0000 3.5073 0.0000
0.0000 0.0000 7.3808
K Fe Cl
1 1 2
direct
0.0000 0.0000 0.0000
0.5000 0.5000 0.4755
0.0000 0.0000 0.4055
0.5000 0.5000 0.7881



Entry 4:
KFe2Cl (SCAN, single point on PBEsol structure); polymorph energy (0 for the lowest one) = 422 meV per atom; formation energy (no corrections) = 331 meV/atom; total DFT energy (no corrections) = -51.2 eV/cell; ρ = 3.50 g cm⁻³
1.0
-1.5461 3.0606 4.6688
1.5461 -3.0606 4.6688
1.5461 3.0606 -4.6688
K Fe Cl
1 2 1
direct
0.0000 0.0000 0.0000
0.3644 0.8644 0.5000
0.5222 0.5222 0.0000
0.7010 0.2010 0.5000



Entry 5:
KFe2Cl (SCAN, single point on PBEsol structure); polymorph energy (0 for the lowest one) = 382 meV per atom; formation energy (no corrections) = 291 meV/atom; total DFT energy (no corrections) = -51.4 eV/cell; ρ = 3.42 g cm⁻³
1.0
3.7698 0.0000 0.0000
0.0000 3.7698 0.0000
0.0000 0.0000 6.3651
K Fe Cl
1 2 1
direct
0.0000 0.0000 0.0000
0.0000 0.5000 0.5000
0.5000 0.0000 0.5000
0.5000 0.5000 0.0000



Entry 6:
KFe2Cl (SCAN, single point on PBEsol structure); polymorph energy (0 for the lowest one) = 1245 meV per atom; formation energy (no corrections) = 1153 meV/atom; total DFT energy (no corrections) = -48.0 eV/cell; ρ = 4.14 g cm⁻³
1.0
0.0000 3.3421 3.3421
3.3421 0.0000 3.3421
3.3421 3.3421 0.0000
K Fe Cl
1 2 1
direct
0.0000 0.0000 0.0000
0.2500 0.2500 0.2500
0.7500 0.7500 0.7500
0.5000 0.5000 0.5000



Entry 7:
K6LiFe24S26Cl (SCAN, single point on PBEsol structure); formation energy (no corrections) = -509 meV/atom; total DFT energy (no corrections) = -775.3 eV/cell; ρ = 4.55 g cm⁻³
1.0
9.6342 0.0000 0.0000
0.0000 9.6342 0.0000
0.0000 0.0000 9.6342
K Li Fe S Cl
6 1 24 26 1
direct
0.0000 0.0000 0.3010
0.0000 0.0000 0.6990
0.0000 0.3010 0.0000
0.0000 0.6990 0.0000
0.3010 0.0000 0.0000
0.6990 0.0000 0.0000
0.5000 0.5000 0.5000
0.1362 0.3642 0.3642
0.1362 0.3642 0.6358
0.1362 0.6358 0.3642
0.1362 0.6358 0.6358
0.3642 0.1362 0.3642
0.3642 0.1362 0.6358
0.3642 0.3642 0.1362
0.3642 0.3642 0.8638
0.3642 0.6358 0.1362
0.3642 0.6358 0.8638
0.3642 0.8638 0.3642
0.3642 0.8638 0.6358
0.6358 0.1362 0.3642
0.6358 0.1362 0.6358
0.6358 0.3642 0.1362
0.6358 0.3642 0.8638
0.6358 0.6358 0.1362
0.6358 0.6358 0.8638
0.6358 0.8638 0.3642
0.6358 0.8638 0.6358
0.8638 0.3642 0.3642
0.8638 0.3642 0.6358
0.8638 0.6358 0.3642
0.8638 0.6358 0.6358
0.0000 0.2488 0.5000
0.0000 0.5000 0.2488
0.0000 0.5000 0.7512
0.0000 0.7512 0.5000
0.2210 0.2210 0.2210
0.2210 0.2210 0.7790
0.2210 0.7790 0.2210
0.2210 0.7790 0.7790
0.2488 0.0000 0.5000
0.2488 0.5000 0.0000
0.2500 0.5000 0.5000
0.5000 0.0000 0.2488
0.5000 0.0000 0.7512
0.5000 0.2488 0.0000
0.5000 0.2500 0.5000
0.5000 0.5000 0.2500
0.5000 0.5000 0.7500
0.5000 0.7500 0.5000
0.5000 0.7512 0.0000
0.7500 0.5000 0.5000
0.7512 0.0000 0.5000
0.7512 0.5000 0.0000
0.7790 0.2210 0.2210
0.7790 0.2210 0.7790
0.7790 0.7790 0.2210
0.7790 0.7790 0.7790
0.0000 0.0000 0.0000



Entry 8:
K3NaFeCl6 (SCAN, single point on PBEsol structure); formation energy (no corrections) = -1804 meV/atom; total DFT energy (no corrections) = -115.0 eV/cell; ρ = 2.19 g cm⁻³
1.0
6.2807 3.6262 2.2647
-6.2807 3.6262 2.2647
0.0000 -7.2523 2.2647
K Na Fe Cl
3 1 1 6
direct
0.0000 0.5000 0.5000
0.5000 0.0000 0.5000
0.5000 0.5000 0.0000
0.0000 0.0000 0.0000
0.5000 0.5000 0.5000
0.1942 0.1942 0.4695
0.1942 0.4695 0.1942
0.4695 0.1942 0.1942
0.5305 0.8058 0.8058
0.8058 0.5305 0.8058
0.8058 0.8058 0.5305